Model one:
PBE-GGA LiTa3Bi, relaxed; magnetic moment = 0.0 μB/cell; space group = Pm-3m; DOS at the Fermi energy = 1.64 states/eV/atom
1.0
-2.7174 -2.4534 3.6933
-0.3248 -4.2100 -3.0355
4.4220 -1.8168 2.0466
Bi Li Ta
1 1 3
Direct
0.0000 0.0000 0.0000
0.5000 0.5000 0.5000
0.5000 0.0000 0.0000
0.0000 0.0000 0.5000
0.0000 0.5000 0.0000

Model two:
PBE-GGA LiTa3Bi, relaxed; magnetic moment = 0.0 μB/cell; space group = Pm-3m; DOS at the Fermi energy = 1.17 states/eV/atom
1.0
4.5379 0.0000 0.0000
0.0000 4.5379 0.0000
0.0000 0.0000 4.5379
Bi Ta Li
1 3 1
Direct
0.5000 0.5000 0.5000
0.5000 0.0000 0.0000
0.0000 0.5000 0.0000
0.0000 0.0000 0.5000
0.0000 0.0000 0.0000

Decreasing stability: model two, model one